A relaxed structure of CoRu2PtI, computed with PBE.

Cell and atoms, written as POSCAR:
```
CoRu2PtI
1.0
4.592 0.000 0.000
0.000 4.592 0.000
0.000 0.000 4.656
Co Ru Pt I
1 2 1 1
direct
0.000 0.000 0.000
0.000 0.500 0.000
0.500 0.000 0.000
0.000 0.000 0.500
0.500 0.500 0.500
```

Formation energy from raw total energies in eV/f.u.: 6.63
Density in Mg/m³: 9.86
Volume in Å³/f.u.: 98.16
SG: No. 123
DOS at the Fermi energy in states/eV/f.u.: 6.93

=====

A relaxed structure of Sm8CoPt3I4, computed with PBE.

Cell and atoms, written as POSCAR:
```
Sm8CoPt3I4
1.0
4.184 2.416 8.005
-4.184 2.416 8.005
0.000 -4.831 8.005
Sm Co Pt I
8 1 3 4
direct
0.229 0.229 0.229
0.243 0.720 0.720
0.280 0.280 0.757
0.280 0.757 0.280
0.720 0.243 0.720
0.720 0.720 0.243
0.757 0.280 0.280
0.771 0.771 0.771
0.500 0.500 0.500
0.000 0.000 0.500
0.000 0.500 0.000
0.500 0.000 0.000
0.000 0.000 0.000
0.000 0.500 0.500
0.500 0.000 0.500
0.500 0.500 0.000
```

Formation energy from raw total energies in eV/f.u.: -15.90
Density in Mg/m³: 8.06
Volume in Å³/f.u.: 485.38
SG: No. 166
DOS at the Fermi energy in states/eV/f.u.: 9.90

=====

A relaxed structure of CoTcPt2I, computed with PBE.

Cell and atoms, written as POSCAR:
```
CoTcPt2I
1.0
4.907 0.000 0.000
0.000 4.907 0.000
0.000 0.000 4.499
Co Tc Pt I
1 1 2 1
direct
0.000 0.000 0.000
0.000 0.000 0.500
0.000 0.500 0.500
0.500 0.000 0.500
0.500 0.500 0.000
```

Formation energy from raw total energies in eV/f.u.: 6.40
Density in Mg/m³: 10.33
Volume in Å³/f.u.: 108.31
SG: No. 123
DOS at the Fermi energy in states/eV/f.u.: 6.22

=====

A relaxed structure of Co2TcPtI, computed with PBE.

Cell and atoms, written as POSCAR:
```
Co2TcPtI
1.0
4.428 0.000 0.000
0.000 4.428 0.000
0.000 0.000 5.078
Co Tc Pt I
2 1 1 1
direct
0.000 0.500 0.000
0.500 0.000 0.000
0.000 0.000 0.000
0.500 0.500 0.500
0.000 0.000 0.500
```

Formation energy from raw total energies in eV/f.u.: 7.74
Density in Mg/m³: 8.97
Volume in Å³/f.u.: 99.55
SG: No. 123
DOS at the Fermi energy in states/eV/f.u.: 10.09

=====

A relaxed structure of CoTe2PtI, computed with PBE.

Cell and atoms, written as POSCAR:
```
CoTe2PtI
1.0
4.910 0.000 0.000
0.000 4.910 0.000
0.000 0.000 5.146
Co Te Pt I
1 2 1 1
direct
0.000 0.000 0.000
0.000 0.500 0.000
0.500 0.000 0.000
0.500 0.500 0.500
0.000 0.000 0.500
```

Formation energy from raw total energies in eV/f.u.: 3.96
Density in Mg/m³: 8.51
Energy above the most stable polymorph in this dataset in kJ/mol of formula units: 0
Volume in Å³/f.u.: 124.09
SG: No. 123
DOS at the Fermi energy in states/eV/f.u.: 7.48

=====

A relaxed structure of CoTe2PtI, computed with PBE.

Cell and atoms, written as POSCAR:
```
CoTe2PtI
1.0
5.877 0.000 0.000
0.000 5.877 0.000
0.000 0.000 4.928
Co Te Pt I
1 2 1 1
direct
0.000 0.000 0.000
0.000 0.500 0.500
0.500 0.000 0.500
0.500 0.500 0.000
0.500 0.500 0.500
```

Formation energy from raw total energies in eV/f.u.: 7.64
Density in Mg/m³: 6.21
Energy above the most stable polymorph in this dataset in kJ/mol of formula units: 355
Volume in Å³/f.u.: 170.20
SG: No. 123
DOS at the Fermi energy in states/eV/f.u.: 7.92

=====

A relaxed structure of V2CoPtI, computed with PBE.

Cell and atoms, written as POSCAR:
```
V2CoPtI
1.0
4.419 0.000 0.000
0.000 4.419 0.000
0.000 0.000 4.807
V Co Pt I
2 1 1 1
direct
0.000 0.500 0.000
0.500 0.000 0.000
0.000 0.000 0.000
0.500 0.500 0.500
0.000 0.000 0.500
```

Formation energy from raw total energies in eV/f.u.: 5.23
Density in Mg/m³: 8.54
Volume in Å³/f.u.: 93.86
SG: No. 123
DOS at the Fermi energy in states/eV/f.u.: 7.36

=====

A relaxed structure of YCoPt2I, computed with PBE.

Cell and atoms, written as POSCAR:
```
YCoPt2I
1.0
4.662 0.000 0.000
0.000 4.662 0.000
0.000 0.000 5.251
Y Co Pt I
1 1 2 1
direct
0.000 0.000 0.000
0.000 0.000 0.500
0.000 0.500 0.500
0.500 0.000 0.500
0.500 0.500 0.000
```

Formation energy from raw total energies in eV/f.u.: 0.85
Density in Mg/m³: 9.68
Volume in Å³/f.u.: 114.12
SG: No. 123
DOS at the Fermi energy in states/eV/f.u.: 4.91

=====

A relaxed structure of ZrCoPt2I, computed with PBE.

Cell and atoms, written as POSCAR:
```
ZrCoPt2I
1.0
4.982 0.000 0.000
0.000 4.982 0.000
0.000 0.000 4.444
Zr Co Pt I
1 1 2 1
direct
0.000 0.000 0.000
0.500 0.500 0.000
0.000 0.500 0.500
0.500 0.000 0.500
0.500 0.500 0.500
```

Formation energy from raw total energies in eV/f.u.: 4.75
Density in Mg/m³: 10.04
Volume in Å³/f.u.: 110.31
SG: No. 123
DOS at the Fermi energy in states/eV/f.u.: 4.24

=====

A relaxed structure of Pu2CoI, computed with PBE.

Cell and atoms, written as POSCAR:
```
Pu2CoI
1.0
3.923 0.000 0.000
-1.962 3.398 0.000
0.000 0.000 23.741
Pu Co I
6 3 3
direct
0.000 0.000 0.227
0.000 0.000 0.773
0.333 0.667 0.439
0.333 0.667 0.894
0.667 0.333 0.106
0.667 0.333 0.561
0.000 0.000 0.500
0.333 0.667 0.167
0.667 0.333 0.833
0.000 0.000 0.000
0.333 0.667 0.667
0.667 0.333 0.333
```

Formation energy from raw total energies in eV/f.u.: -1.14
Density in Mg/m³: 10.61
Volume in Å³/f.u.: 105.49
SG: No. 166
DOS at the Fermi energy in states/eV/f.u.: 14.02

=====

A relaxed structure of Rb3Co5I12, computed with PBE.

Cell and atoms, written as POSCAR:
```
Rb3Co5I12
1.0
-9.065 9.065 9.065
9.065 -9.065 9.065
9.065 9.065 -9.065
Rb Co I
12 20 48
direct
0.125 0.250 0.375
0.125 0.375 0.750
0.250 0.375 0.125
0.250 0.875 0.625
0.375 0.125 0.250
0.375 0.750 0.125
0.625 0.250 0.875
0.625 0.875 0.750
0.750 0.125 0.375
0.750 0.625 0.875
0.875 0.625 0.250
0.875 0.750 0.625
0.000 0.000 0.000
0.000 0.000 0.500
0.000 0.500 0.000
0.000 0.500 0.500
0.125 0.750 0.875
0.125 0.875 0.250
0.250 0.125 0.875
0.250 0.625 0.375
0.375 0.250 0.625
0.375 0.625 0.750
0.500 0.000 0.000
0.500 0.000 0.500
0.500 0.500 0.000
0.500 0.500 0.500
0.625 0.375 0.250
0.625 0.750 0.375
0.750 0.375 0.625
0.750 0.875 0.125
0.875 0.125 0.750
0.875 0.250 0.125
0.010 0.194 0.106
0.010 0.316 0.904
0.087 0.694 0.684
0.087 0.894 0.404
0.096 0.606 0.413
0.096 0.990 0.684
0.106 0.010 0.194
0.106 0.596 0.913
0.184 0.194 0.587
0.184 0.490 0.596
0.194 0.106 0.010
0.194 0.587 0.184
0.306 0.316 0.913
0.306 0.490 0.394
0.316 0.904 0.010
0.316 0.913 0.306
0.394 0.306 0.490
0.394 0.587 0.904
0.404 0.087 0.894
0.404 0.816 0.510
0.413 0.096 0.606
0.413 0.816 0.806
0.490 0.394 0.306
0.490 0.596 0.184
0.510 0.404 0.816
0.510 0.606 0.694
0.587 0.184 0.194
0.587 0.904 0.394
0.596 0.184 0.490
0.596 0.913 0.106
0.606 0.413 0.096
0.606 0.694 0.510
0.684 0.087 0.694
0.684 0.096 0.990
0.694 0.510 0.606
0.694 0.684 0.087
0.806 0.413 0.816
0.806 0.894 0.990
0.816 0.510 0.404
0.816 0.806 0.413
0.894 0.404 0.087
0.894 0.990 0.806
0.904 0.010 0.316
0.904 0.394 0.587
0.913 0.106 0.596
0.913 0.306 0.316
0.990 0.684 0.096
0.990 0.806 0.894
```

Formation energy from raw total energies in eV/f.u.: -7.36
Density in Mg/m³: 4.62
Volume in Å³/f.u.: 745.03
SG: No. 230
DOS at the Fermi energy in states/eV/f.u.: 15.91

=====

A relaxed structure of RbCo2I, computed with PBE.

Cell and atoms, written as POSCAR:
```
RbCo2I
1.0
5.103 0.000 0.000
0.000 5.103 0.000
0.000 0.000 16.885
Rb Co I
4 8 4
direct
0.000 0.250 0.375
0.000 0.750 0.625
0.500 0.250 0.125
0.500 0.750 0.875
0.000 0.000 0.000
0.000 0.500 0.000
0.250 0.250 0.750
0.250 0.750 0.250
0.500 0.000 0.500
0.500 0.500 0.500
0.750 0.250 0.750
0.750 0.750 0.250
0.000 0.250 0.875
0.000 0.750 0.125
0.500 0.250 0.625
0.500 0.750 0.375
```

Formation energy from raw total energies in eV/f.u.: 2.62
Density in Mg/m³: 4.99
Energy above the most stable polymorph in this dataset in kJ/mol of formula units: 0
Volume in Å³/f.u.: 109.91
SG: No. 141
DOS at the Fermi energy in states/eV/f.u.: 4.41

=====

- Which of these has the lowest formation energy from raw total energies?
  Sm8CoPt3I4

=====

- Which value of DOS at the Fermi energy does entry 7 give?
  7.36 states/eV/f.u.